The following is a PBE-GGA calculation of an optimized crystal structure of PmSm6Y3, from Alexandria.

a = 9.834 Å, b = 21.341 Å, c = 6.444 Å
α = 90.00°, β = 90.00°, γ = 90.00°
Space group Cmc2_1 (No. 36)
One atom of each set of equivalent atoms:
Pm 0.000 0.161 0.000 (multiplicity 4)
Sm 0.000 0.016 0.807 (multiplicity 4)
Sm 0.000 0.301 0.784 (multiplicity 4)
Sm 0.175 0.281 0.319 (multiplicity 8)
Sm 0.180 0.441 0.562 (multiplicity 8)
Y 0.000 0.419 0.084 (multiplicity 4)
Y 0.169 0.126 0.478 (multiplicity 8)

Properties
Total energy (eV for the cell shown): -204.79
Energy relative to the lowest polymorph listed for this composition (eV per atom): 0.000
Crystal system: orthorhombic
E_form (eV per atom): 0.126
Magnetic moment (μB/f.u.): 0.00